(1)
Entry from Alexandria via LeMat-Bulk: La2DyEr5Th after structural relaxation (PBE).

Unit cell a=5.611 b=10.232 c=10.919 alpha=90.00 beta=90.00 gamma=105.91
Atoms (fractional coordinates):
1 Er 0.282 0.564 0.309
2 Er 0.481 0.962 0.737
3 Er 0.519 0.038 0.237
4 Er 0.986 0.971 0.528
5 Er 0.701 0.401 0.209
6 Er 0.608 0.217 0.520
7 Er 0.392 0.783 0.020
8 Er 0.014 0.029 0.028
9 Er 0.718 0.436 0.809
10 Er 0.299 0.599 0.709
11 La 0.885 0.770 0.234
12 La 0.884 0.768 0.816
13 La 0.116 0.232 0.316
14 La 0.115 0.230 0.734
15 Dy 0.798 0.596 0.509
16 Dy 0.202 0.404 0.009
17 Th 0.418 0.836 0.462
18 Th 0.582 0.164 0.962

Results
Its density of states at the Fermi level is 26.0 states/eV/cell. The calculation puts the formation energy from the elements at 165.5 meV/atom. As for the space group: No. 36. The value obtained for the total moment is 0.0 μB/f.u.

***

(2)
Entry from Alexandria via LeMat-Bulk: ReNiH3 after structural relaxation (PBE).

Unit cell a=3.398 b=3.398 c=3.398 alpha=90.00 beta=90.00 gamma=90.00
Atoms (fractional coordinates):
1 H 0.000 0.500 0.000
2 H 0.500 0.000 0.000
3 H 0.000 0.000 0.500
4 Ni 0.500 0.500 0.500
5 Re 0.000 0.000 0.000

Results
As for the excess energy over the best structure of this formula in the dataset: 97 meV/atom. Its density of states at the Fermi level is 2.7 states/eV/cell. As for the space group: No. 221. The value obtained for the total moment is 0.5 μB/f.u.

***

(3)
Entry from Alexandria via LeMat-Bulk: SrVAuS2 after structural relaxation (PBE).

Unit cell a=5.360 b=5.965 c=5.360 alpha=90.00 beta=90.00 gamma=90.00
Atoms (fractional coordinates):
1 V 0.000 0.500 0.000
2 S 0.500 0.000 0.000
3 S 0.000 0.000 0.500
4 Sr 0.000 0.000 0.000
5 Au 0.500 0.500 0.500

Results
Its density of states at the Fermi level is 11.7 states/eV/cell. As for the space group: No. 123. The value obtained for the total moment is 4.2 μB/f.u. For the raw formation energy, the calculation gives 1.10 eV/atom.